Rb2Al3TlF12: optimized geometry, GGA-PBE.

Cell lengths 7.529, 7.529, 7.529 Å; angles 56.76, 56.76, 56.76 degrees
Fractional positions:
Rb: 0.124 0.124 0.124
Rb: 0.876 0.876 0.876
Al: 0.000 0.500 0.500
Al: 0.500 0.000 0.500
Al: 0.500 0.500 0.000
Tl: 0.500 0.500 0.500
F: 0.048 0.615 0.615
F: 0.220 0.220 0.595
F: 0.220 0.595 0.220
F: 0.385 0.385 0.952
F: 0.385 0.952 0.385
F: 0.405 0.780 0.780
F: 0.595 0.220 0.220
F: 0.615 0.048 0.615
F: 0.615 0.615 0.048
F: 0.780 0.405 0.780
F: 0.780 0.780 0.405
F: 0.952 0.385 0.385

Results
DOS at the Fermi energy ... 0.0000 states/eV/atom
Energy ... -5.343 eV per atom